Entry 1:
{
  "formula": "ScCr2Tc",
  "functional": "PBE",
  "state": "optimized geometry",
  "cell": [[6.102, 0.000, 0.000], [0.000, 6.102, 0.000], [0.000, 0.000, 6.102]],
  "species": ["Sc", "Sc", "Sc", "Sc", "Cr", "Cr", "Cr", "Cr", "Cr", "Cr", "Cr", "Cr", "Tc", "Tc", "Tc", "Tc"],
  "fractional_positions": [[0.000, 0.000, 0.000], [0.000, 0.500, 0.500], [0.500, 0.000, 0.500], [0.500, 0.500, 0.000], [0.250, 0.250, 0.250], [0.250, 0.250, 0.750], [0.250, 0.750, 0.250], [0.250, 0.750, 0.750], [0.750, 0.250, 0.250], [0.750, 0.250, 0.750], [0.750, 0.750, 0.250], [0.750, 0.750, 0.750], [0.000, 0.000, 0.500], [0.000, 0.500, 0.000], [0.500, 0.000, 0.000], [0.500, 0.500, 0.500]],
  "dos_at_fermi_per_ev_atom": 1.4835,
  "density_g_cm3": 7.22,
  "relative_energy_ev_per_atom": 0.0656,
  "e_tot_ev_per_cell": -141.2,
  "e_form_ev_per_atom": 0.159,
  "volume_a3_per_atom": 14.2
}

Entry 2:
{
  "formula": "ScCr2Tc",
  "functional": "PBE",
  "state": "optimized geometry",
  "cell": [[2.908, 0.000, 0.000], [0.000, 4.034, 0.000], [0.000, 0.000, 5.314]],
  "species": ["Sc", "Cr", "Cr", "Tc"],
  "fractional_positions": [[0.000, 0.000, 0.000], [0.500, 0.500, 0.313], [0.500, 0.500, 0.687], [0.000, 0.000, 0.500]],
  "dos_at_fermi_per_ev_atom": 1.5219,
  "density_g_cm3": 6.58,
  "relative_energy_ev_per_atom": 0.2518,
  "e_tot_ev_per_cell": -34.6,
  "e_form_ev_per_atom": 0.345,
  "volume_a3_per_atom": 15.6
}

Entry 3:
{
  "formula": "ScCrTc",
  "functional": "PBE",
  "state": "optimized geometry",
  "cell": [[6.047, 0.000, 0.000], [0.000, 6.047, 0.000], [0.000, 0.000, 6.047]],
  "species": ["Sc", "Sc", "Sc", "Sc", "Cr", "Cr", "Cr", "Cr", "Tc", "Tc", "Tc", "Tc"],
  "fractional_positions": [[0.000, 0.000, 0.000], [0.000, 0.500, 0.500], [0.500, 0.000, 0.500], [0.500, 0.500, 0.000], [0.000, 0.000, 0.500], [0.000, 0.500, 0.000], [0.500, 0.000, 0.000], [0.500, 0.500, 0.500], [0.250, 0.250, 0.750], [0.250, 0.750, 0.250], [0.750, 0.250, 0.250], [0.750, 0.750, 0.750]],
  "dos_at_fermi_per_ev_atom": 0.6343,
  "density_g_cm3": 5.86,
  "relative_energy_ev_per_atom": 0.6125,
  "e_tot_ev_per_cell": -99.7,
  "e_form_ev_per_atom": 0.464,
  "volume_a3_per_atom": 18.4
}

Entry 4:
{
  "formula": "ScCr2Tc",
  "functional": "PBE",
  "state": "optimized geometry",
  "cell": [[2.755, 0.000, 0.000], [0.000, 4.160, 0.000], [-0.907, 0.000, 5.008]],
  "species": ["Sc", "Cr", "Cr", "Tc"],
  "fractional_positions": [[0.000, 0.000, 0.000], [0.276, 0.500, 0.739], [0.497, 0.000, 0.510], [0.736, 0.500, 0.273]],
  "dos_at_fermi_per_ev_atom": 1.3335,
  "density_g_cm3": 7.15,
  "relative_energy_ev_per_atom": 0.0985,
  "e_tot_ev_per_cell": -35.2,
  "e_form_ev_per_atom": 0.192,
  "volume_a3_per_atom": 14.3
}

Entry 5:
{
  "formula": "Sc2CrTc3",
  "functional": "PBE",
  "state": "optimized geometry",
  "cell": [[8.840, 0.000, 0.000], [0.000, 5.253, 0.000], [-2.874, 0.000, 4.270]],
  "species": ["Sc", "Sc", "Sc", "Sc", "Cr", "Cr", "Tc", "Tc", "Tc", "Tc", "Tc", "Tc"],
  "fractional_positions": [[0.125, 0.000, 0.375], [0.375, 0.500, 0.625], [0.625, 0.500, 0.375], [0.875, 0.000, 0.625], [0.000, 0.500, 0.000], [0.500, 0.000, 0.000], [0.000, 0.500, 0.500], [0.250, 0.250, 0.000], [0.250, 0.750, 0.000], [0.500, 0.000, 0.500], [0.750, 0.250, 0.000], [0.750, 0.750, 0.000]],
  "dos_at_fermi_per_ev_atom": 0.7756,
  "density_g_cm3": 7.30,
  "e_tot_ev_per_cell": -109.4,
  "e_form_ev_per_atom": -0.223,
  "volume_a3_per_atom": 16.5
}

Entry 6:
{
  "formula": "ScCrTc2",
  "functional": "PBE",
  "state": "optimized geometry",
  "cell": [[3.092, 0.000, 0.000], [0.000, 4.364, 0.000], [0.000, 0.000, 8.871]],
  "species": ["Sc", "Sc", "Cr", "Cr", "Tc", "Tc", "Tc", "Tc"],
  "fractional_positions": [[0.000, 0.000, 0.000], [0.500, 0.500, 0.500], [0.000, 0.500, 0.761], [0.500, 0.000, 0.261], [0.000, 0.000, 0.494], [0.000, 0.500, 0.239], [0.500, 0.000, 0.739], [0.500, 0.500, 0.994]],
  "dos_at_fermi_per_ev_atom": 0.8487,
  "density_g_cm3": 8.13,
  "e_tot_ev_per_cell": -73.6,
  "e_form_ev_per_atom": -0.029,
  "volume_a3_per_atom": 15.0
}

Entry 7:
{
  "formula": "ScCrTc4",
  "functional": "PBE",
  "state": "optimized geometry",
  "cell": [[0.000, 3.656, 3.656], [3.656, 0.000, 3.656], [3.656, 3.656, 0.000]],
  "species": ["Sc", "Cr", "Tc", "Tc", "Tc", "Tc"],
  "fractional_positions": [[0.000, 0.000, 0.000], [0.250, 0.250, 0.250], [0.125, 0.625, 0.625], [0.625, 0.125, 0.625], [0.625, 0.625, 0.125], [0.625, 0.625, 0.625]],
  "dos_at_fermi_per_ev_atom": 1.4398,
  "density_g_cm3": 8.31,
  "e_tot_ev_per_cell": -56.8,
  "e_form_ev_per_atom": 0.107,
  "volume_a3_per_atom": 16.3
}

Entry 8:
{
  "formula": "ScCrTc2",
  "functional": "PBE",
  "state": "optimized geometry",
  "cell": [[3.058, 0.000, 0.000], [0.000, 3.058, 0.000], [0.000, 0.000, 6.456]],
  "species": ["Sc", "Cr", "Tc", "Tc"],
  "fractional_positions": [[0.000, 0.000, 0.000], [0.000, 0.000, 0.500], [0.500, 0.500, 0.280], [0.500, 0.500, 0.720]],
  "dos_at_fermi_per_ev_atom": 0.7932,
  "density_g_cm3": 8.06,
  "e_tot_ev_per_cell": -37.0,
  "e_form_ev_per_atom": -0.066,
  "volume_a3_per_atom": 15.1
}

Question: Which formula does entry 3 have?
Answer: ScCrTc